1.
This record from the Open Quantum Materials Database describes crystalline PuMgPb2 at its relaxed geometry. The functional is PBE-GGA.

As for the total moment: 5.7 μB per cell. The total energy is -23.95 eV/cell. For the volume, the calculation gives 107 Å³/f.u.

The space group is P4/mmm (No. 123) and the conventional cell measures 4.893, 4.893 and 4.489 Å, with angles of 90.00, 90.00 and 90.00 degrees. The asymmetric unit holds Pu at (0.000, 0.000, 0.000), Mg at (0.500, 0.500, 0.000) and Pb at (0.000, 0.500, 0.500).

---

2.
This record from the Open Quantum Materials Database describes crystalline Mg2Re3Pb at its relaxed geometry. The functional is PBE-GGA.

As for the total moment: 0.0 μB per cell. The total energy is -40.04 eV/cell. For the volume, the calculation gives 115 Å³/f.u.

The space group is P6/mmm (No. 191) and the conventional cell measures 5.2319, 5.2319 and 4.8413 Å, with angles of 90.00, 90.00 and 120.00 degrees. The asymmetric unit holds Mg at (0.3333, 0.6667, 0.0000), Re at (0.0000, 0.5000, 0.5000) and Pb at (0.0000, 0.0000, 0.0000).

---

3.
This record from the Open Quantum Materials Database describes crystalline MgReSbPb at its relaxed geometry. The functional is PBE-GGA.

As for the total moment: 0.0 μB per cell. The value obtained for the energy above the most stable polymorph in this dataset is 0 meV per atom. The total energy is -78.38 eV/cell. For the volume, the calculation gives 81 Å³/f.u.

The space group is F-43m (No. 216) and the conventional cell measures 6.875, 6.875 and 6.875 Å, with angles of 90.00, 90.00 and 90.00 degrees. The asymmetric unit holds Mg at (0.000, 0.000, 0.000), Re at (0.000, 0.000, 0.500), Sb at (0.250, 0.250, 0.750) and Pb at (0.250, 0.250, 0.250).

---

4.
This record from the Open Quantum Materials Database describes crystalline MgTcPb2S6 at its relaxed geometry. The functional is PBE-GGA.

As for the total moment: 4.4 μB per cell. The total energy is -95.89 eV/cell. For the volume, the calculation gives 215 Å³/f.u.

The space group is I4/m (No. 87) and the conventional cell measures 6.251, 6.251 and 10.983 Å, with angles of 90.00, 90.00 and 90.00 degrees. The asymmetric unit holds Mg at (0.000, 0.000, 0.000), Tc at (0.000, 0.000, 0.500), Pb at (0.000, 0.500, 0.250), S at (0.000, 0.000, 0.272) and S at (0.136, 0.647, 0.500).

---

5.
This record from the Open Quantum Materials Database describes crystalline MgScZnPb at its relaxed geometry. The functional is PBE-GGA.

As for the total moment: 0.1 μB per cell. The value obtained for the energy above the most stable polymorph in this dataset is 171 meV per atom. The total energy is -50.73 eV/cell. For the volume, the calculation gives 91 Å³/f.u.

The space group is F-43m (No. 216) and the conventional cell measures 7.134, 7.134 and 7.134 Å, with angles of 90.00, 90.00 and 90.00 degrees. The asymmetric unit holds Mg at (0.000, 0.000, 0.000), Sc at (0.250, 0.250, 0.750), Zn at (0.000, 0.000, 0.500) and Pb at (0.250, 0.250, 0.250).

---

6.
This record from the Open Quantum Materials Database describes crystalline MgScZnPb at its relaxed geometry. The functional is PBE-GGA.

As for the total moment: 0.0 μB per cell. The value obtained for the energy above the most stable polymorph in this dataset is 0 meV per atom. The total energy is -53.48 eV/cell. For the volume, the calculation gives 87 Å³/f.u.

The space group is F-43m (No. 216) and the conventional cell measures 7.027, 7.027 and 7.027 Å, with angles of 90.00, 90.00 and 90.00 degrees. The asymmetric unit holds Mg at (0.000, 0.000, 0.000), Sc at (0.000, 0.000, 0.500), Zn at (0.250, 0.250, 0.750) and Pb at (0.250, 0.250, 0.250).

---

7.
This record from the Open Quantum Materials Database describes crystalline MgScZnPb at its relaxed geometry. The functional is PBE-GGA.

As for the total moment: 0.1 μB per cell. The value obtained for the energy above the most stable polymorph in this dataset is 182 meV per atom. The total energy is -50.56 eV/cell. For the volume, the calculation gives 91 Å³/f.u.

The space group is F-43m (No. 216) and the conventional cell measures 7.130, 7.130 and 7.130 Å, with angles of 90.00, 90.00 and 90.00 degrees. The asymmetric unit holds Mg at (0.000, 0.000, 0.000), Sc at (0.250, 0.250, 0.250), Zn at (0.250, 0.250, 0.750) and Pb at (0.000, 0.000, 0.500).

---

8.
This record from the Open Quantum Materials Database describes crystalline MgTcPb2Se6 at its relaxed geometry. The functional is PBE-GGA.

As for the total moment: 4.8 μB per cell. The total energy is -87.22 eV/cell. For the volume, the calculation gives 248 Å³/f.u.

The space group is I4/m (No. 87) and the conventional cell measures 6.598, 6.598 and 11.408 Å, with angles of 90.00, 90.00 and 90.00 degrees. The asymmetric unit holds Mg at (0.000, 0.000, 0.000), Tc at (0.000, 0.000, 0.500), Pb at (0.000, 0.500, 0.250), Se at (0.000, 0.000, 0.268) and Se at (0.139, 0.650, 0.500).

---

9.
This record from the Open Quantum Materials Database describes crystalline SmMgPb at its relaxed geometry. The functional is PBE-GGA.

As for the total moment: 0.0 μB per cell. The total energy is -42.21 eV/cell. For the volume, the calculation gives 92 Å³/f.u.

The space group is F-43m (No. 216) and the conventional cell measures 7.155, 7.155 and 7.155 Å, with angles of 90.00, 90.00 and 90.00 degrees. The asymmetric unit holds Sm at (0.000, 0.000, 0.000), Mg at (0.000, 0.000, 0.500) and Pb at (0.250, 0.250, 0.750).

---

10.
This record from the Open Quantum Materials Database describes crystalline SmMgPb at its relaxed geometry. The functional is PBE-GGA.

As for the total moment: 0.0 μB per cell. The total energy is -39.34 eV/cell. For the volume, the calculation gives 98 Å³/f.u.

The space group is F-43m (No. 216) and the conventional cell measures 7.315, 7.315 and 7.315 Å, with angles of 90.00, 90.00 and 90.00 degrees. The asymmetric unit holds Sm at (0.000, 0.000, 0.000), Mg at (0.250, 0.250, 0.750) and Pb at (0.250, 0.250, 0.250).

---

11.
This record from the Open Quantum Materials Database describes crystalline SmMgTe3Pb at its relaxed geometry. The functional is PBE-GGA.

As for the total moment: 0.0 μB per cell. The total energy is -97.11 eV/cell. For the volume, the calculation gives 192 Å³/f.u.

The space group is Cmcm (No. 63) and the conventional cell measures 4.481, 14.835 and 11.573 Å, with angles of 90.00, 90.00 and 90.00 degrees. The asymmetric unit holds Sm at (0.000, 0.000, 0.000), Mg at (0.000, 0.475, 0.250), Te at (0.000, 0.094, 0.250), Te at (0.000, 0.355, 0.055) and Pb at (0.000, 0.209, 0.750).

---

12.
This record from the Open Quantum Materials Database describes crystalline MgTaPb at its relaxed geometry. The functional is PBE-GGA.

As for the total moment: 5.2 μB per cell. The total energy is -57.22 eV/cell. For the volume, the calculation gives 78 Å³/f.u.

The space group is F-43m (No. 216) and the conventional cell measures 6.777, 6.777 and 6.777 Å, with angles of 90.00, 90.00 and 90.00 degrees. The asymmetric unit holds Mg at (0.000, 0.000, 0.000), Ta at (0.250, 0.250, 0.250) and Pb at (0.000, 0.000, 0.500).